No. 1
Compound: AgPt2
Source: the Alexandria database
Functional: PBE-GGA
Structure: optimized geometry

Structure (CIF):
```
data_AgPt2
_chemical_formula_sum 'Ag2 Pt4'
_cell_length_a 4.5867
_cell_length_b 4.5867
_cell_length_c 5.4562
_cell_angle_alpha 90.00
_cell_angle_beta 90.00
_cell_angle_gamma 120.00
_space_group_name_H-M_alt 'P 63/m m c'
_space_group_IT_number 194
_space_group_name_Hall '-P 6c 2c'
loop_
_atom_site_label
_atom_site_fract_x
_atom_site_fract_y
_atom_site_fract_z
Ag1 0.3333 0.6667 0.2500
Pt1 0.0000 0.0000 0.0000
Pt2 0.3333 0.6667 0.7500
```

Calculated values
Spin magnetization ... 0.00 Bohr magnetons per cell
Energy relative to the lowest polymorph listed for this composition ... 0.255 eV/atom
E_tot ... -4.730 eV/atom
ΔE_f ... 247.8 meV/atom

No. 2
Compound: Zn2InPd
Source: the Alexandria database
Functional: PBE-GGA
Structure: optimized geometry

Structure (CIF):
```
data_Zn2InPd
_chemical_formula_sum 'Zn6 In3 Pd3'
_cell_length_a 4.3282
_cell_length_b 4.3282
_cell_length_c 13.6674
_cell_angle_alpha 90.00
_cell_angle_beta 90.00
_cell_angle_gamma 120.00
_space_group_name_H-M_alt 'R 3 m'
_space_group_IT_number 160
_space_group_name_Hall 'R 3 -2"'
loop_
_atom_site_label
_atom_site_fract_x
_atom_site_fract_y
_atom_site_fract_z
Zn1 0.0000 0.0000 0.0000
Zn2 0.0000 0.0000 0.2197
In1 0.0000 0.0000 0.4345
Pd1 0.0000 0.0000 0.6324
```

Calculated values
Spin magnetization ... 0.00 Bohr magnetons per cell
E_tot ... -2.825 eV/atom
ΔE_f ... -204.9 meV/atom

No. 3
Compound: Sc2CrTeC
Source: the Alexandria database
Functional: PBE-GGA
Structure: optimized geometry

Structure (CIF):
```
data_Sc2CrTeC
_chemical_formula_sum 'Sc2 Cr1 Te1 C1'
_cell_length_a 5.283
_cell_length_b 5.283
_cell_length_c 4.935
_cell_angle_alpha 90.00
_cell_angle_beta 90.00
_cell_angle_gamma 90.00
_space_group_name_H-M_alt 'P 4/m m m'
_space_group_IT_number 123
_space_group_name_Hall '-P 4 2'
loop_
_atom_site_label
_atom_site_fract_x
_atom_site_fract_y
_atom_site_fract_z
Sc1 0.000 0.500 0.000
Cr1 0.000 0.000 0.500
Te1 0.000 0.000 0.000
C1 0.500 0.500 0.500
```

Calculated values
Spin magnetization ... 4.68 Bohr magnetons per cell
E_tot ... -5.325 eV/atom
ΔE_f (raw) ... 1605 meV/atom